# 1
Material: NaScOsO
Method: DFT, PBE
State: optimized geometry

Computed properties:
Energy   -7.05 eV/atom
Space group   P3m1 (156)
Crystal system   trigonal
ΔE to the lowest computed polymorph   0.14 eV/f.u.
Total magnetization   0.00 Bohr magnetons per cell

a = 3.012 Å, b = 3.012 Å, c = 7.581 Å
α = 90.00°, β = 90.00°, γ = 120.00°
Element x y z (fractional)
Os1 0.333 0.667 0.836
Na1 0.667 0.333 0.501
O1 0.000 0.000 0.271
Sc1 0.667 0.333 0.119



# 2
Material: NaSm2OsO8
Method: DFT, PBE
State: optimized geometry

Computed properties:
Energy   -7.08 eV/atom
Space group   P-1 (2)
Crystal system   triclinic
Total magnetization   1.02 Bohr magnetons per cell

a = 5.219 Å, b = 4.264 Å, c = 7.110 Å
α = 75.86°, β = 89.80°, γ = 89.58°
Element x y z (fractional)
O1 0.313 0.180 0.088
O2 0.465 0.169 0.502
O3 0.788 0.227 0.124
O4 0.535 0.831 0.498
O5 0.974 0.326 0.758
O6 0.026 0.674 0.242
O7 0.687 0.820 0.912
O8 0.212 0.773 0.876
Os1 0.000 0.000 0.000
Sm1 0.516 0.384 0.783
Sm2 0.484 0.616 0.217
Na1 0.000 0.000 0.500



# 3
Material: NaSmOsO6
Method: DFT, PBE
State: optimized geometry

Computed properties:
Energy   -6.93 eV/atom
Space group   P312 (149)
Crystal system   trigonal
Total magnetization   0.00 Bohr magnetons per cell

a = 5.649 Å, b = 5.649 Å, c = 4.942 Å
α = 90.00°, β = 90.00°, γ = 60.00°
Element x y z (fractional)
O1 0.604 0.340 0.716
O2 0.340 0.056 0.716
O3 0.056 0.604 0.716
O4 0.056 0.340 0.284
O5 0.340 0.604 0.284
O6 0.604 0.056 0.284
Na1 0.000 0.000 0.000
Os1 0.333 0.333 0.500
Sm1 0.667 0.667 0.500